Compound: Pm6AlSi2
Source: the Alexandria database
Functional: PBE
Structure: relaxed

The structure belongs to space group Immm (No. 71); the cell edges are 9.729, 10.010 and 10.385 Å and the angles 90.00°, 90.00° and 90.00°. The distinct sites, in fractional coordinates, are Pm at (0.000, 0.201, 0.243), Pm at (0.208, 0.500, 0.177), Pm at (0.229, 0.318, 0.500), Al at (0.000, 0.000, 0.000), Al at (0.000, 0.000, 0.500), Si at (0.000, 0.372, 0.000) and Si at (0.000, 0.500, 0.386).

The calculation puts the energy relative to the lowest polymorph listed for this composition at 0 meV/atom. The total magnetization comes out at 0.0 μB/f.u. As for the raw formation energy: -0.456 eV/atom.